# 1
DFT (PBE-GGA) results for Zn6Ga12Rh after structural relaxation.

Cell and atoms, written as POSCAR:
```
Zn6Ga12Rh
1.0
-1.360 -4.857 4.855
5.806 0.995 3.783
-2.837 4.337 4.706
Zn Ga Rh
6 12 1
direct
0.324 0.855 0.790
0.790 0.324 0.855
0.676 0.145 0.210
0.855 0.790 0.324
0.210 0.676 0.145
0.145 0.210 0.676
0.434 0.480 0.819
0.352 0.136 0.019
0.864 0.981 0.648
0.520 0.181 0.566
0.648 0.864 0.981
0.819 0.434 0.480
0.981 0.648 0.864
0.136 0.019 0.352
0.480 0.819 0.434
0.019 0.352 0.136
0.181 0.566 0.520
0.566 0.520 0.181
0.000 0.000 0.000
```

Values from the calculation:
Formation enthalpy at 0 K: -1.2 kJ per mole of atoms
VASP energy: -51.557 eV/cell
Total magnetization: 0.000 μB/cell



# 2
DFT (PBE-GGA) results for LiAsBr after structural relaxation.

Cell and atoms, written as POSCAR:
```
LiAsBr
1.0
-2.384 5.526 -2.140
-2.774 3.392 -4.647
-3.249 -0.159 0.641
As Br Li
1 1 1
direct
0.965 0.965 0.035
0.722 0.722 0.278
0.313 0.313 0.687
```

Values from the calculation:
Polymorph energy (0 for the lowest one): 504.1 meV/atom
VASP energy: -9.184 eV/cell
Formation energy without anion corrections: -0.316 eV per atom
Total magnetization: 0.000 μB/cell